# SiPOs

SiPOs after structural relaxation (PBE-GGA, Alexandria).

DFT total energy: -7.13 eV/atom
E_form (uncorrected): 0.229 eV per atom

Cell: 4.439 4.439 4.439 Å, 141.30 130.75 64.33°
Positions (direct):
Os1 0.007 0.007 0.000
P1 0.333 0.333 0.000
Si1 0.660 0.660 0.000